(1)
Computed, not measured: a geometry-optimized Na2Pa2MoN6 structure at the PBE level of DFT.

Calculated values
The raw formation energy is -9.44 eV per formula unit.

```
data_Na2Pa2MoN6
_chemical_formula_sum 'Na4 Pa4 Mo2 N12'
_symmetry_space_group_name_H-M 'C 1 2/m 1'
_symmetry_Int_Tables_number 12
_symmetry_space_group_name_Hall '-C 2y'
_cell_length_a 5.9080
_cell_length_b 10.0949
_cell_length_c 6.0057
_cell_angle_alpha 90.00
_cell_angle_beta 105.55
_cell_angle_gamma 90.00
loop_
_atom_site_label
_atom_site_type_symbol
_atom_site_fract_x
_atom_site_fract_y
_atom_site_fract_z
Na1 Na 0.0000 0.1519 0.0000
Pa1 Pa 0.0000 0.3348 0.5000
Mo1 Mo 0.0000 0.0000 0.5000
N1 N 0.2022 0.1596 0.6775
N2 N 0.2484 0.0000 0.3195
```

---

(2)
Computed, not measured: a geometry-optimized Na3Pa3MoN8 structure at the PBE level of DFT.

Calculated values
The raw formation energy is -14.39 eV per formula unit.

```
data_Na3Pa3MoN8
_chemical_formula_sum 'Na9 Pa9 Mo3 N24'
_symmetry_space_group_name_H-M 'R -3 m'
_symmetry_Int_Tables_number 166
_symmetry_space_group_name_Hall '-R 3 2"'
_cell_length_a 6.8706
_cell_length_b 6.8706
_cell_length_c 17.1559
_cell_angle_alpha 90.00
_cell_angle_beta 90.00
_cell_angle_gamma 120.00
loop_
_atom_site_label
_atom_site_type_symbol
_atom_site_fract_x
_atom_site_fract_y
_atom_site_fract_z
Na1 Na 0.0000 0.5000 0.0000
Pa1 Pa 0.0000 0.5000 0.5000
Mo1 Mo 0.0000 0.0000 0.5000
N1 N 0.0000 0.0000 0.2310
N2 N 0.0245 0.5123 0.2262
```

---

(3)
Computed, not measured: a geometry-optimized NaPaMo2N6 structure at the PBE level of DFT.

Calculated values
The raw formation energy is -5.96 eV per formula unit.

```
data_NaPaMo2N6
_chemical_formula_sum 'Na4 Pa4 Mo8 N24'
_symmetry_space_group_name_H-M 'C 1 2/c 1'
_symmetry_Int_Tables_number 15
_symmetry_space_group_name_Hall '-C 2yc'
_cell_length_a 11.4072
_cell_length_b 10.0460
_cell_length_c 6.3100
_cell_angle_alpha 90.00
_cell_angle_beta 112.05
_cell_angle_gamma 90.00
loop_
_atom_site_label
_atom_site_type_symbol
_atom_site_fract_x
_atom_site_fract_y
_atom_site_fract_z
Na1 Na 0.0000 0.0905 0.2500
Pa1 Pa 0.0000 0.2753 0.7500
Mo1 Mo 0.2065 0.4170 0.1882
N1 N 0.1111 0.2694 0.1312
N2 N 0.1244 0.1231 0.6873
N3 N 0.1485 0.4590 0.8704
```

---

(4)
Computed, not measured: a geometry-optimized Na4Pa3MoN8 structure at the PBE level of DFT.

Calculated values
The value obtained for the density of states at the Fermi level is 2.1 states/eV/f.u. The raw formation energy is -15.12 eV per formula unit.

```
data_Na4Pa3MoN8
_chemical_formula_sum 'Na12 Pa9 Mo3 N24'
_symmetry_space_group_name_H-M 'R -3 m'
_symmetry_Int_Tables_number 166
_symmetry_space_group_name_Hall '-R 3 2"'
_cell_length_a 6.9104
_cell_length_b 6.9104
_cell_length_c 17.0787
_cell_angle_alpha 90.00
_cell_angle_beta 90.00
_cell_angle_gamma 120.00
loop_
_atom_site_label
_atom_site_type_symbol
_atom_site_fract_x
_atom_site_fract_y
_atom_site_fract_z
Na1 Na 0.0000 0.0000 0.0000
Na2 Na 0.0000 0.5000 0.0000
Pa1 Pa 0.0000 0.5000 0.5000
Mo1 Mo 0.0000 0.0000 0.5000
N1 N 0.0000 0.0000 0.2304
N2 N 0.0164 0.5082 0.2281
```

---

Q: Which of these has the lowest raw formation energy?
A: Na4Pa3MoN8

---

Q: The lowest raw formation energy belongs to which entry?
A: Na4Pa3MoN8

---

Copy entry 4 word for word.
Computed, not measured: a geometry-optimized Na4Pa3MoN8 structure at the PBE level of DFT.

Calculated values
The value obtained for the density of states at the Fermi level is 2.1 states/eV/f.u. The raw formation energy is -15.12 eV per formula unit.

```
data_Na4Pa3MoN8
_chemical_formula_sum 'Na12 Pa9 Mo3 N24'
_symmetry_space_group_name_H-M 'R -3 m'
_symmetry_Int_Tables_number 166
_symmetry_space_group_name_Hall '-R 3 2"'
_cell_length_a 6.9104
_cell_length_b 6.9104
_cell_length_c 17.0787
_cell_angle_alpha 90.00
_cell_angle_beta 90.00
_cell_angle_gamma 120.00
loop_
_atom_site_label
_atom_site_type_symbol
_atom_site_fract_x
_atom_site_fract_y
_atom_site_fract_z
Na1 Na 0.0000 0.0000 0.0000
Na2 Na 0.0000 0.5000 0.0000
Pa1 Pa 0.0000 0.5000 0.5000
Mo1 Mo 0.0000 0.0000 0.5000
N1 N 0.0000 0.0000 0.2304
N2 N 0.0164 0.5082 0.2281
```

---

Q: What is the formula in the fourth record?
A: Na4Pa3MoN8